(1)
MnHg2 | Alexandria via LeMat-Bulk | GGA-PBE | optimized geometry; magnetization = 4.20 μB/f.u.; total energy = -31.87 eV/cell; volume = 271.5 Å³/cell; theoretical density = 11157 kg/m3; symmetry = P6_3/mmc (194)
1.0
-3.871 0.732 4.261
-5.668 -0.576 -1.099
0.527 -9.072 2.037
Mn Hg
4 8
direct
0.667 0.667 0.023
0.667 0.667 0.477
0.333 0.333 0.523
0.333 0.333 0.977
0.000 0.000 0.000
0.000 0.000 0.500
0.828 0.343 0.750
0.343 0.828 0.750
0.172 0.172 0.250
0.828 0.828 0.750
0.657 0.172 0.250
0.172 0.657 0.250

(2)
TbDyMgTi | Alexandria via LeMat-Bulk | GGA-PBE | optimized geometry; magnetization = 2.07 μB/f.u.; total energy = -18.15 eV/cell; volume = 102.6 Å³/cell; theoretical density = 6369 kg/m3; symmetry = F-43m (216)
1.0
-2.967 1.305 4.137
-3.837 -3.214 1.600
0.492 -2.632 4.522
Mg Ti Tb Dy
1 1 1 1
direct
0.000 0.000 0.000
0.500 0.500 0.500
0.250 0.250 0.250
0.750 0.750 0.750

(3)
Ac2TbNd | Alexandria via LeMat-Bulk | GGA-PBE | optimized geometry; magnetization = 0.00 μB/f.u.; total energy = -34.88 eV/cell; volume = 313.2 Å³/cell; theoretical density = 8028 kg/m3; symmetry = Cmmm (65)
1.0
-2.343 0.601 2.980
-2.497 -5.827 -5.725
2.654 -10.225 4.162
Ac Tb Nd
4 2 2
direct
0.133 0.132 0.735
0.867 0.868 0.265
0.755 0.254 0.000
0.245 0.746 0.000
0.000 0.500 0.500
0.500 0.000 0.500
0.633 0.633 0.735
0.367 0.367 0.265

(4)
NaGaTe2 | Alexandria via LeMat-Bulk | GGA-PBE | optimized geometry; magnetization = 0.00 μB/f.u.; energy relative to the elements, uncorrected = -12.5 kcal/mol of atoms; volume = 253.5 Å³/cell; theoretical density = 4558 kg/m3; symmetry = P-1 (2)
1.0
8.816 -0.009 0.002
4.157 5.611 0.000
-0.006 0.008 5.120
Na Te Ga
2 4 2
direct
0.850 0.437 0.508
0.851 0.937 0.937
0.570 0.028 0.470
0.131 0.346 0.974
0.131 0.846 0.470
0.570 0.528 0.975
0.351 0.937 0.708
0.350 0.437 0.737